Material: BaGa
Method: DFT, PBE
State: optimized geometry

Space group = F-43m, No. 216
Total DFT energy (no corrections) = -2.081 eV/atom
Total magnetic moment = 3.78 μB/cell
ΔH_f (0 K) = 0.394 eV per atom

Cell lengths 7.5667, 7.5667, 7.5667 Å; angles 90.00, 90.00, 90.00 degrees
With the nearest neighbours (Å) after each atom.
Positions (direct):
Ba: 0.0000 0.0000 0.0000  4 Ga 3.28
Ba: 0.0000 0.5000 0.5000  4 Ga 3.28
Ba: 0.5000 0.0000 0.5000  4 Ga 3.28
Ba: 0.5000 0.5000 0.0000  4 Ga 3.28
Ga: 0.2500 0.2500 0.2500  4 Ba 3.28
Ga: 0.2500 0.7500 0.7500  4 Ba 3.28
Ga: 0.7500 0.2500 0.7500  4 Ba 3.28
Ga: 0.7500 0.7500 0.2500  4 Ba 3.28